Entry 1
Ge3PPt: optimized geometry, GGA-PBE.

Symmetry   Pm-3m

a = 4.8483 Å, b = 4.8483 Å, c = 4.8483 Å
α = 90.00°, β = 90.00°, γ = 90.00°
Sites, in units of the cell vectors:
Ge  0.0000  0.0000  0.5000
Ge  0.0000  0.5000  0.0000
Ge  0.5000  0.0000  0.0000
P  0.5000  0.5000  0.5000
Pt  0.0000  0.0000  0.0000



Entry 2
Ge3PPt: optimized geometry, GGA-PBE.

Symmetry   Pm-3m

a = 4.6344 Å, b = 4.6344 Å, c = 4.6344 Å
α = 90.00°, β = 90.00°, γ = 90.00°
Sites, in units of the cell vectors:
Ge  0.0000  0.0000  0.5000
Ge  0.0000  0.5000  0.0000
Ge  0.5000  0.0000  0.0000
P  0.0000  0.0000  0.0000
Pt  0.5000  0.5000  0.5000



The structure with the least stability is entry 2.